Record 1
VASP calculation (SCAN) on a PBEsol-optimized structure of Ca2TaCl.

Calculated values
Its polymorph energy (0 for the lowest one) is 714 meV/atom. The density of states at the Fermi level is 0.446 states/eV per atom. The calculation puts the uncorrected formation energy at 32.86 kJ per mole of atoms.

Cell: 6.576 6.576 6.576 Å, 142.14 142.14 54.61°
Positions (direct):
Ca: 0.000 0.000 0.000
Ca: 0.750 0.250 0.500
Ta: 0.250 0.750 0.500
Cl: 0.500 0.500 0.000

***

Record 2
VASP calculation (SCAN) on a PBEsol-optimized structure of CoTc2.

Calculated values
Its polymorph energy (0 for the lowest one) is 0 meV/atom. The density of states at the Fermi level is 0.796 states/eV per atom. For the formation enthalpy at 0 K, the calculation gives 0.05 eV/atom.

Cell: 4.678 4.678 4.678 Å, 103.94 103.94 121.21°
Positions (direct):
Co: 0.250 0.250 0.000
Co: 0.750 0.750 0.000
Tc: 0.149 0.649 0.798
Tc: 0.351 0.149 0.500
Tc: 0.649 0.851 0.500
Tc: 0.851 0.351 0.202